# 1
A plane-wave DFT calculation with PBE was carried out for a relaxed structure of Np2FeH4.

Calculated values
- total DFT energy (no corrections) (eV per atom) = -6.83
- crystal system = tetragonal

Cell: 3.3077 3.3077 7.1188 Å, 76.57 76.57 90.00°
Fractional positions:
Np  0.3594  0.3594  0.2813
Np  0.6406  0.6406  0.7187
H  0.1850  0.1850  0.6300
H  0.8150  0.8150  0.3700
H  0.0000  0.5000  0.0000
H  0.5000  0.0000  0.0000
Fe  0.0000  0.0000  0.0000

***

# 2
A plane-wave DFT calculation with PBE was carried out for a relaxed structure of Hf4CO.

Calculated values
- crystal system = monoclinic
- formation energy (no corrections) (kJ per mole of atoms) = -115.7
- polymorph energy (0 for the lowest one) (meV per atom) = 0

Cell: 5.2481 6.4364 6.5210 Å, 120.18 90.00 90.00°
Fractional positions:
Hf  0.7397  0.3270  0.1643
Hf  0.7603  0.8270  0.1643
Hf  0.2664  0.6722  0.3340
Hf  0.7664  0.8278  0.6660
Hf  0.2336  0.1722  0.3340
Hf  0.7336  0.3278  0.6660
Hf  0.2397  0.1730  0.8357
Hf  0.2603  0.6730  0.8357
C  0.5000  0.5000  0.0000
C  0.0000  0.0000  0.0000
O  0.0000  0.0000  0.5000
O  0.5000  0.5000  0.5000

***

# 3
A plane-wave DFT calculation with PBE was carried out for a relaxed structure of CoAgBr2.

Calculated values
- crystal system = orthorhombic
- formation energy (no corrections) (kJ per mole of atoms) = 15.6
- polymorph energy (0 for the lowest one) (meV per atom) = 166

Cell: 3.7101 3.7101 7.6078 Å, 90.00 90.00 108.16°
Fractional positions:
Ag  0.5000  0.5000  0.7234
Br  0.0000  0.0000  0.9106
Br  0.5000  0.5000  0.3586
Co  0.0000  0.0000  0.5073

***

# 4
A plane-wave DFT calculation with PBE was carried out for a relaxed structure of La2VAgTe.

Calculated values
- crystal system = tetragonal
- formation energy (no corrections) (kJ per mole of atoms) = 4.2

Cell: 5.4872 4.9020 5.4872 Å, 90.00 90.00 90.00°
Fractional positions:
V  0.0000  0.0000  0.0000
Te  0.5000  0.5000  0.5000
Ag  0.0000  0.5000  0.0000
La  0.0000  0.0000  0.5000
La  0.5000  0.0000  0.0000

***

# 5
A plane-wave DFT calculation with PBE was carried out for a relaxed structure of MgAlIn3.

Calculated values
- DFT formation energy (eV per atom) = 0.5630
- crystal system = cubic
- polymorph energy (0 for the lowest one) (meV per atom) = 221

Cell: 5.4225 5.4225 5.4225 Å, 90.00 90.00 90.00°
Fractional positions:
Mg  0.0000  0.0000  0.0000
Al  0.5000  0.5000  0.5000
In  0.0000  0.5000  0.0000
In  0.0000  0.0000  0.5000
In  0.5000  0.0000  0.0000

***

# 6
A plane-wave DFT calculation with PBE was carried out for a relaxed structure of PmPbCl5.

Calculated values
- crystal system = monoclinic
- formation energy (no corrections) (kJ per mole of atoms) = -170.3

Cell: 4.2557 7.8842 13.2680 Å, 92.57 90.00 90.00°
Fractional positions:
Pm  0.2500  0.4179  0.3519
Pm  0.7500  0.5821  0.6481
Pb  0.7500  0.0860  0.1416
Pb  0.2500  0.9140  0.8584
Cl  0.2500  0.0782  0.3229
Cl  0.7500  0.1431  0.9306
Cl  0.7500  0.3241  0.4838
Cl  0.2500  0.3562  0.1419
Cl  0.2500  0.3900  0.7055
Cl  0.7500  0.6100  0.2945
Cl  0.7500  0.6438  0.8581
Cl  0.2500  0.6759  0.5162
Cl  0.2500  0.8569  0.0694
Cl  0.7500  0.9218  0.6771

***

# 7
A plane-wave DFT calculation with PBE was carried out for a relaxed structure of H3Os.

Calculated values
- crystal system = triclinic
- polymorph energy (0 for the lowest one) (meV per atom) = 159

Cell: 3.7879 3.7878 4.5683 Å, 99.21 96.85 93.42°
Fractional positions:
H  0.7099  0.1975  0.7449
H  0.2901  0.8025  0.2551
H  0.7072  0.6947  0.7238
H  0.2928  0.3053  0.2762
H  0.2095  0.6981  0.7451
H  0.7905  0.3019  0.2549
Os  0.0000  0.0000  0.0000
Os  0.5000  0.5000  0.0000

***

# 8
A plane-wave DFT calculation with PBE was carried out for a relaxed structure of LiY2TePd.

Calculated values
- crystal system = tetragonal
- formation energy (no corrections) (kJ per mole of atoms) = -4.0

Cell: 5.2095 4.4778 5.2095 Å, 90.00 90.00 90.00°
Fractional positions:
Y  0.0000  0.0000  0.5000
Y  0.5000  0.0000  0.0000
Te  0.0000  0.5000  0.0000
Pd  0.5000  0.5000  0.5000
Li  0.0000  0.0000  0.0000